No. 1
ReHgIr | GGA-PBE | optimized geometry

Cell lengths 4.3260, 4.3260, 4.3260 Å; angles 60.00, 60.00, 60.00 degrees
Fractional coordinates of all 3 atoms:
Hg  0.5000  0.5000  0.5000
Ir  0.7500  0.7500  0.7500
Re  0.0000  0.0000  0.0000

Calculated values
ΔE to the lowest computed polymorph = 131 kJ/mol of formula units
uncorrected energy = -0.2366 hartree per atom
formation enthalpy at 0 K = 0.766 eV per atom
space-group type = F-43m (216)
total moment = 0.0 μB/cell

=====

No. 2
ReHgIr | GGA-PBE | optimized geometry

Cell lengths 2.8429, 2.8429, 7.1396 Å; angles 90.00, 90.00, 120.00 degrees
Fractional coordinates of all 3 atoms:
Re  0.6667  0.3333  0.6433
Hg  0.0000  0.0000  0.0004
Ir  0.3333  0.6667  0.3563

Calculated values
ΔE to the lowest computed polymorph = 16 kJ/mol of formula units
uncorrected energy = -0.2511 hartree per atom
formation enthalpy at 0 K = 0.371 eV per atom
space-group type = P3m1 (156)
total moment = 0.0 μB/cell

=====

No. 3
ReHg2Ir | GGA-PBE | optimized geometry

Cell lengths 2.8584, 2.8584, 8.6116 Å; angles 90.00, 90.00, 90.00 degrees
Fractional coordinates of all 4 atoms:
Re  0.5000  0.5000  0.7500
Hg  0.0000  0.0000  0.4939
Hg  0.0000  0.0000  0.0061
Ir  0.5000  0.5000  0.2500

Calculated values
ΔE to the lowest computed polymorph = 248 kJ/mol of formula units
uncorrected energy = -0.1671 hartree per atom
formation enthalpy at 0 K = 0.930 eV per atom
space-group type = P4/mmm (123)
total moment = 0.5 μB/cell